VASP calculation (PBE) on crystalline SiTcSe at its relaxed geometry.

Cell lengths 3.1703, 3.1703, 5.5084 Å; angles 90.00, 90.00, 120.00 degrees
With the nearest neighbours (Å) after each atom.
Space group P3m1 (No. 156)
One atom of each set of equivalent atoms:
Si1 0.0000 0.0000 0.0000 (multiplicity 1)  3 Tc 2.48, 3 Se 2.74
Tc1 0.3333 0.6667 0.3032 (multiplicity 1)  3 Si 2.48, 3 Se 2.56
Se1 0.6667 0.3333 0.6287 (multiplicity 1)  3 Tc 2.56, 3 Si 2.74

Computed properties:
Total magnetic moment in μB/cell: 0.00
E_tot in hartree per atom: -0.2376
V in A^3/atom: 15.982
Uncorrected formation energy in eV/f.u.: -0.12
Crystal system: trigonal